Li4Al3Cu2: relaxed, GGA-PBE.

Summary:
- DFT formation energy (kJ per mole of atoms) = -19.4
- total moment (μB/f.u.) = 0.00

a = 5.202 Å, b = 5.202 Å, c = 7.747 Å
α = 122.69°, β = 122.69°, γ = 48.35°
Fractional positions:
Li 0.151 0.151 0.162
Li 0.266 0.266 0.610
Li 0.734 0.734 0.390
Li 0.849 0.849 0.838
Al 0.384 0.384 0.068
Al 0.500 0.500 0.500
Al 0.616 0.616 0.932
Cu 0.064 0.064 0.723
Cu 0.936 0.936 0.277

=====

Li3AlCu2: relaxed, GGA-PBE.

Summary:
- DFT formation energy (kJ per mole of atoms) = -12.7
- total moment (μB/f.u.) = 0.00

a = 4.522 Å, b = 4.522 Å, c = 8.615 Å
α = 101.74°, β = 101.74°, γ = 102.94°
Fractional positions:
Li 0.046 0.295 0.587
Li 0.124 0.876 0.750
Li 0.295 0.046 0.087
Li 0.705 0.954 0.913
Li 0.876 0.124 0.250
Li 0.954 0.705 0.413
Al 0.373 0.627 0.250
Al 0.627 0.373 0.750
Cu 0.213 0.464 0.925
Cu 0.464 0.213 0.425
Cu 0.536 0.787 0.575
Cu 0.787 0.536 0.075

=====

Li3AlCu3: relaxed, GGA-PBE.

Summary:
- DFT formation energy (kJ per mole of atoms) = -6.0
- total moment (μB/f.u.) = 0.00

a = 6.057 Å, b = 6.057 Å, c = 5.501 Å
α = 90.00°, β = 90.00°, γ = 94.62°
Fractional positions:
Li 0.208 0.208 0.500
Li 0.215 0.215 0.000
Li 0.250 0.750 0.000
Li 0.750 0.250 0.000
Li 0.785 0.785 0.000
Li 0.792 0.792 0.500
Al 0.267 0.733 0.500
Al 0.733 0.267 0.500
Cu 0.000 0.500 0.248
Cu 0.000 0.500 0.752
Cu 0.500 0.000 0.248
Cu 0.500 0.000 0.752
Cu 0.500 0.500 0.241
Cu 0.500 0.500 0.759

=====

LiAl4Cu5: relaxed, GGA-PBE.

Summary:
- DFT formation energy (kJ per mole of atoms) = -18.7
- total moment (μB/f.u.) = 0.00

a = 6.725 Å, b = 6.725 Å, c = 5.133 Å
α = 105.91°, β = 105.91°, γ = 36.08°
Fractional positions:
Li 0.000 0.000 0.000
Al 0.200 0.200 0.304
Al 0.402 0.402 0.132
Al 0.598 0.598 0.868
Al 0.800 0.800 0.696
Cu 0.000 0.000 0.500
Cu 0.201 0.201 0.806
Cu 0.398 0.398 0.628
Cu 0.602 0.602 0.372
Cu 0.799 0.799 0.194

=====

LiAl2Cu: relaxed, GGA-PBE.

Summary:
- DFT formation energy (kJ per mole of atoms) = -10.2
- total moment (μB/f.u.) = 0.00

a = 4.345 Å, b = 4.345 Å, c = 4.345 Å
α = 60.00°, β = 60.00°, γ = 60.00°
Fractional positions:
Li 0.000 0.000 0.000
Al 0.500 0.500 0.500
Al 0.750 0.750 0.750
Cu 0.250 0.250 0.250

=====

Li2AlCu: relaxed, GGA-PBE.

Summary:
- DFT formation energy (kJ per mole of atoms) = -13.7
- total moment (μB/f.u.) = 0.00

a = 4.725 Å, b = 4.725 Å, c = 4.660 Å
α = 106.37°, β = 106.37°, γ = 35.54°
Fractional positions:
Li 0.000 0.000 0.000
Li 0.238 0.238 0.813
Al 0.473 0.473 0.470
Cu 0.733 0.733 0.329

=====

Li2AlCu: relaxed, GGA-PBE.

Summary:
- DFT formation energy (kJ per mole of atoms) = 8.5
- total moment (μB/f.u.) = 0.00

a = 5.600 Å, b = 5.600 Å, c = 5.600 Å
α = 101.17°, β = 101.17°, γ = 127.77°
Fractional positions:
Li 0.095 0.125 0.470
Li 0.375 0.905 0.030
Li 0.655 0.625 0.530
Li 0.875 0.345 0.970
Al 0.250 0.750 0.500
Al 0.500 0.500 0.000
Cu 0.000 0.000 0.000
Cu 0.750 0.250 0.500

=====

Li12Al2Cu: relaxed, GGA-PBE.

Summary:
- DFT formation energy (kJ per mole of atoms) = 0.2
- total moment (μB/f.u.) = 0.00

a = 5.546 Å, b = 5.546 Å, c = 19.132 Å
α = 90.00°, β = 90.00°, γ = 120.79°
Fractional positions:
Li 0.000 0.000 0.066
Li 0.000 0.000 0.934
Li 0.000 0.500 0.125
Li 0.000 0.500 0.875
Li 0.001 0.501 0.386
Li 0.120 0.880 0.501
Li 0.250 0.250 0.206
Li 0.250 0.250 0.342
Li 0.250 0.250 0.658
Li 0.250 0.250 0.794
Li 0.380 0.620 0.501
Li 0.499 0.999 0.386
Li 0.500 0.000 0.125
Li 0.500 0.000 0.875
Li 0.500 0.500 0.066
Li 0.500 0.500 0.934
Li 0.501 0.001 0.614
Li 0.620 0.380 0.499
Li 0.750 0.750 0.206
Li 0.750 0.750 0.342
Li 0.750 0.750 0.658
Li 0.750 0.750 0.794
Li 0.880 0.120 0.499
Li 0.999 0.499 0.614
Al 0.250 0.750 0.259
Al 0.250 0.750 0.741
Al 0.750 0.250 0.259
Al 0.750 0.250 0.741
Cu 0.250 0.750 0.000
Cu 0.750 0.250 0.000

=====

Li2AlCu: relaxed, GGA-PBE.

Summary:
- DFT formation energy (kJ per mole of atoms) = -11.9
- total moment (μB/f.u.) = 0.00

a = 4.834 Å, b = 4.834 Å, c = 4.834 Å
α = 141.18°, β = 127.04°, γ = 67.58°
Fractional positions:
Li 0.000 0.000 0.000
Li 0.751 0.251 0.500
Al 0.487 0.487 0.000
Cu 0.240 0.740 0.500

=====

LiAlCu4: relaxed, GGA-PBE.

Summary:
- DFT formation energy (kJ per mole of atoms) = 4.6
- total moment (μB/f.u.) = 0.00

a = 8.595 Å, b = 8.595 Å, c = 5.015 Å
α = 90.00°, β = 90.00°, γ = 151.39°
Fractional positions:
Li 0.148 0.852 0.750
Li 0.852 0.148 0.250
Al 0.424 0.576 0.750
Al 0.576 0.424 0.250
Cu 0.164 0.836 0.250
Cu 0.295 0.705 0.001
Cu 0.295 0.705 0.499
Cu 0.432 0.568 0.250
Cu 0.568 0.432 0.750
Cu 0.705 0.295 0.501
Cu 0.705 0.295 0.999
Cu 0.836 0.164 0.750

=====

Li2AlCu: relaxed, GGA-PBE.

Summary:
- DFT formation energy (kJ per mole of atoms) = -10.9
- total moment (μB/f.u.) = 0.00

a = 2.676 Å, b = 4.534 Å, c = 4.698 Å
α = 90.00°, β = 97.94°, γ = 90.00°
Fractional positions:
Li 0.212 0.000 0.255
Li 0.788 0.000 0.745
Al 0.500 0.500 0.000
Cu 0.000 0.500 0.500

=====

Li3Al3Cu2: relaxed, GGA-PBE.

Summary:
- DFT formation energy (kJ per mole of atoms) = -22.4
- total moment (μB/f.u.) = 0.00

a = 7.379 Å, b = 7.379 Å, c = 7.379 Å
α = 33.49°, β = 33.49°, γ = 33.49°
Fractional positions:
Li 0.000 0.000 0.000
Li 0.123 0.123 0.123
Li 0.495 0.495 0.495
Al 0.374 0.374 0.374
Al 0.622 0.622 0.622
Al 0.871 0.871 0.871
Cu 0.250 0.250 0.250
Cu 0.745 0.745 0.745

=====

LiAl6Cu3: relaxed, GGA-PBE.

Summary:
- DFT formation energy (kJ per mole of atoms) = -8.4
- total moment (μB/f.u.) = 0.00

a = 7.970 Å, b = 3.921 Å, c = 10.302 Å
α = 90.00°, β = 102.57°, γ = 90.00°
Fractional positions:
Li 0.029 0.250 0.256
Li 0.971 0.750 0.744
Al 0.084 0.250 0.939
Al 0.207 0.750 0.424
Al 0.247 0.750 0.175
Al 0.294 0.750 0.708
Al 0.426 0.250 0.074
Al 0.436 0.250 0.577
Al 0.564 0.750 0.423
Al 0.574 0.750 0.926
Al 0.706 0.250 0.292
Al 0.753 0.250 0.825
Al 0.793 0.250 0.576
Al 0.916 0.750 0.061
Cu 0.109 0.250 0.556
Cu 0.270 0.750 0.941
Cu 0.379 0.250 0.320
Cu 0.621 0.750 0.680
Cu 0.730 0.250 0.059
Cu 0.891 0.750 0.444

=====

LiAl2Cu4: relaxed, GGA-PBE.

Summary:
- DFT formation energy (kJ per mole of atoms) = 19.1
- total moment (μB/f.u.) = 0.00

a = 7.267 Å, b = 6.597 Å, c = 4.533 Å
α = 79.15°, β = 63.07°, γ = 37.78°
Fractional positions:
Li 0.000 0.000 0.000
Al 0.389 0.389 0.611
Al 0.611 0.611 0.389
Cu 0.000 0.000 0.500
Cu 0.194 0.194 0.806
Cu 0.500 0.500 0.000
Cu 0.806 0.806 0.194

=====

LiAlCu2: relaxed, GGA-PBE.

Summary:
- DFT formation energy (kJ per mole of atoms) = -15.9
- total moment (μB/f.u.) = 0.00

a = 2.933 Å, b = 2.933 Å, c = 6.022 Å
α = 90.00°, β = 90.00°, γ = 90.00°
Fractional positions:
Li 0.000 0.000 0.000
Al 0.000 0.000 0.500
Cu 0.500 0.500 0.251
Cu 0.500 0.500 0.749

=====

LiAl2Cu: relaxed, GGA-PBE.

Summary:
- DFT formation energy (kJ per mole of atoms) = -10.3
- total moment (μB/f.u.) = 0.00

a = 4.678 Å, b = 4.678 Å, c = 2.782 Å
α = 90.00°, β = 90.00°, γ = 108.30°
Fractional positions:
Li 0.000 0.000 0.000
Al 0.000 0.500 0.500
Al 0.500 0.000 0.500
Cu 0.500 0.500 0.000

=====

LiAl2Cu: relaxed, GGA-PBE.

Summary:
- DFT formation energy (kJ per mole of atoms) = -3.3
- total moment (μB/f.u.) = 0.00

a = 8.842 Å, b = 8.842 Å, c = 8.842 Å
α = 18.38°, β = 18.38°, γ = 18.38°
Fractional positions:
Li 0.000 0.000 0.000
Al 0.244 0.244 0.244
Al 0.756 0.756 0.756
Cu 0.500 0.500 0.500

=====

Li2Al2Cu: relaxed, GGA-PBE.

Summary:
- DFT formation energy (kJ per mole of atoms) = 9.3
- total moment (μB/f.u.) = 0.00

a = 6.555 Å, b = 6.555 Å, c = 3.368 Å
α = 90.00°, β = 90.00°, γ = 90.00°
Fractional positions:
Li 0.137 0.363 0.000
Li 0.363 0.863 0.000
Li 0.637 0.137 0.000
Li 0.863 0.637 0.000
Al 0.164 0.664 0.500
Al 0.336 0.164 0.500
Al 0.664 0.836 0.500
Al 0.836 0.336 0.500
Cu 0.000 0.000 0.000
Cu 0.500 0.500 0.000

=====

LiAlCu: relaxed, GGA-PBE.

Summary:
- DFT formation energy (kJ per mole of atoms) = -17.1
- total moment (μB/f.u.) = 0.00

a = 4.249 Å, b = 4.249 Å, c = 2.564 Å
α = 90.00°, β = 90.00°, γ = 120.00°
Fractional positions:
Li 0.000 0.000 0.000
Al 0.667 0.333 0.412
Cu 0.333 0.667 0.836

=====

LiAlCu2: relaxed, GGA-PBE.

Summary:
- DFT formation energy (kJ per mole of atoms) = -11.1
- total moment (μB/f.u.) = 0.00

a = 2.986 Å, b = 2.986 Å, c = 5.876 Å
α = 90.00°, β = 90.00°, γ = 90.00°
Fractional positions:
Li 0.000 0.000 0.000
Al 0.500 0.500 0.287
Cu 0.000 0.000 0.527
Cu 0.500 0.500 0.768